[1]
! SrBeTeI2 | the Alexandria database | PBE | optimized geometry; values from VASP
! Volume ... 31.04 Å³/atom
! Mass density ... 5.11 g/cm3
! Formation energy without anion corrections ... -0.608 eV/atom
! Uncorrected energy ... -14.69 eV per cell
&SYSTEM
  ibrav = 0, nat = 5, ntyp = 4
/
ATOMIC_SPECIES
Sr 87.62 Sr.upf
Be 9.01 Be.upf
Te 127.60 Te.upf
I 126.90 I.upf
ATOMIC_POSITIONS crystal
Sr 0.000 0.000 0.000
Be 0.500 0.500 0.500
Te 0.500 0.500 0.000
I 0.000 0.500 0.500
I 0.500 0.000 0.500
CELL_PARAMETERS angstrom
5.346 0.000 0.000
0.000 5.346 0.000
0.000 0.000 5.431



[2]
! SrTiBe2I | the Alexandria database | PBE | optimized geometry; values from VASP
! Volume ... 25.95 Å³/atom
! Mass density ... 3.59 g/cm3
! Formation energy without anion corrections ... 1.161 eV/atom
! Uncorrected energy ... -12.77 eV per cell
&SYSTEM
  ibrav = 0, nat = 5, ntyp = 4
/
ATOMIC_SPECIES
Sr 87.62 Sr.upf
Ti 47.87 Ti.upf
Be 9.01 Be.upf
I 126.90 I.upf
ATOMIC_POSITIONS crystal
Sr 0.000 0.000 0.000
Ti 0.500 0.500 0.000
Be 0.000 0.500 0.500
Be 0.500 0.000 0.500
I 0.500 0.500 0.500
CELL_PARAMETERS angstrom
5.032 0.000 0.000
0.000 5.032 0.000
0.000 0.000 5.124



[3]
! Sr2BeTlI | the Alexandria database | PBE | optimized geometry; values from VASP
! Volume ... 37.36 Å³/atom
! Mass density ... 4.58 g/cm3
! Formation energy without anion corrections ... -0.253 eV/atom
! Uncorrected energy ... -12.27 eV per cell
&SYSTEM
  ibrav = 0, nat = 5, ntyp = 4
/
ATOMIC_SPECIES
Sr 87.62 Sr.upf
Be 9.01 Be.upf
Tl 204.38 Tl.upf
I 126.90 I.upf
ATOMIC_POSITIONS crystal
Sr 0.000 0.500 0.000
Sr 0.500 0.000 0.000
Be 0.000 0.000 0.500
Tl 0.000 0.000 0.000
I 0.500 0.500 0.500
CELL_PARAMETERS angstrom
6.411 0.000 0.000
0.000 6.411 0.000
0.000 0.000 4.545



[4]
! SrBeVI2 | the Alexandria database | PBE | optimized geometry; values from VASP
! Volume ... 27.89 Å³/atom
! Mass density ... 4.78 g/cm3
! Formation energy without anion corrections ... 0.290 eV/atom
! Uncorrected energy ... -16.18 eV per cell
&SYSTEM
  ibrav = 0, nat = 5, ntyp = 4
/
ATOMIC_SPECIES
Sr 87.62 Sr.upf
Be 9.01 Be.upf
V 50.94 V.upf
I 126.90 I.upf
ATOMIC_POSITIONS crystal
Sr 0.000 0.000 0.000
Be 0.500 0.500 0.500
V 0.500 0.500 0.000
I 0.000 0.500 0.500
I 0.500 0.000 0.500
CELL_PARAMETERS angstrom
5.445 0.000 0.000
0.000 5.445 0.000
0.000 0.000 4.702



[5]
! Ta2Be2I | the Alexandria database | PBE | optimized geometry; values from VASP
! Volume ... 14.95 Å³/atom
! Mass density ... 11.26 g/cm3
! Formation energy without anion corrections ... 0.589 eV/atom
! Uncorrected energy ... -59.52 eV per cell
&SYSTEM
  ibrav = 0, nat = 10, ntyp = 3
/
ATOMIC_SPECIES
Ta 180.95 Ta.upf
Be 9.01 Be.upf
I 126.90 I.upf
ATOMIC_POSITIONS crystal
Ta 0.177 0.323 0.000
Ta 0.323 0.823 0.000
Ta 0.677 0.177 0.000
Ta 0.823 0.677 0.000
Be 0.109 0.609 0.500
Be 0.391 0.109 0.500
Be 0.609 0.891 0.500
Be 0.891 0.391 0.500
I 0.000 0.000 0.500
I 0.500 0.500 0.500
CELL_PARAMETERS angstrom
6.597 0.000 0.000
0.000 6.597 0.000
0.000 0.000 3.436



[6]
! Ta2Be2I | the Alexandria database | PBE | optimized geometry; values from VASP
! Volume ... 17.49 Å³/atom
! Mass density ... 9.63 g/cm3
! Formation energy without anion corrections ... 0.934 eV/atom
! Uncorrected energy ... -28.04 eV per cell
&SYSTEM
  ibrav = 0, nat = 5, ntyp = 3
/
ATOMIC_SPECIES
Ta 180.95 Ta.upf
Be 9.01 Be.upf
I 126.90 I.upf
ATOMIC_POSITIONS crystal
Ta 0.250 0.750 0.500
Ta 0.750 0.250 0.500
Be 0.103 0.103 0.000
Be 0.897 0.897 0.000
I 0.500 0.500 0.000
CELL_PARAMETERS angstrom
-1.971 1.971 5.625
1.971 -1.971 5.625
1.971 1.971 -5.625



[7]
! Ta2BeTcI | the Alexandria database | PBE | optimized geometry; values from VASP
! Volume ... 17.65 Å³/atom
! Mass density ... 11.21 g/cm3
! Formation energy without anion corrections ... 1.041 eV/atom
! Uncorrected energy ... -34.14 eV per cell
&SYSTEM
  ibrav = 0, nat = 5, ntyp = 4
/
ATOMIC_SPECIES
Ta 180.95 Ta.upf
Be 9.01 Be.upf
Tc 98.00 Tc.upf
I 126.90 I.upf
ATOMIC_POSITIONS crystal
Ta 0.000 0.500 0.000
Ta 0.500 0.000 0.000
Be 0.000 0.000 0.000
Tc 0.000 0.000 0.500
I 0.500 0.500 0.500
CELL_PARAMETERS angstrom
4.630 0.000 0.000
0.000 4.630 0.000
0.000 0.000 4.117



[8]
! Ta2BeTcI | the Alexandria database | PBE | optimized geometry; values from VASP
! Volume ... 18.12 Å³/atom
! Mass density ... 10.92 g/cm3
! Formation energy without anion corrections ... 1.441 eV/atom
! Uncorrected energy ... -32.15 eV per cell
&SYSTEM
  ibrav = 0, nat = 5, ntyp = 4
/
ATOMIC_SPECIES
Ta 180.95 Ta.upf
Be 9.01 Be.upf
Tc 98.00 Tc.upf
I 126.90 I.upf
ATOMIC_POSITIONS crystal
Ta 0.000 0.500 0.000
Ta 0.500 0.000 0.000
Be 0.000 0.000 0.000
Tc 0.500 0.500 0.500
I 0.000 0.000 0.500
CELL_PARAMETERS angstrom
4.392 0.000 0.000
0.000 4.392 0.000
0.000 0.000 4.697